Material: TaRu2C2
Method: DFT, PBE
State: relaxed

Values from the calculation:
- Density of states at the Fermi level: 2.66 states/eV/f.u.
- Formation enthalpy at 0 K: 573 meV per atom
- Raw total energy: -9.197 eV per atom

a b c (Å): 6.291 6.291 2.895
angles (deg): 90.00 90.00 90.00
Space group P4/mbm (No. 127)
Inequivalent atoms, fractional coordinates:
Ta (0.000, 0.000, 0.000) [2 per cell]
Ru (0.148, 0.352, 0.500) [4 per cell]
C (0.186, 0.686, 0.000) [4 per cell]